*1*
Here is a relaxed structure of AlTcCl2 from Alexandria. Energies are from PBE-GGA.

abc: 3.2126 3.2126 8.1623
angles: 90.00 90.00 90.00
Space group P4/mmm (No. 123)
One atom of each set of equivalent atoms:
1 Al 0.0000 0.0000 0.0000 x1
2 Tc 0.0000 0.0000 0.5000 x1
3 Cl 0.5000 0.5000 0.2936 x2

Mass density: 3.9 g/cm³

*2*
Here is a relaxed structure of AlTcCl2 from Alexandria. Energies are from PBE-GGA.

abc: 2.9851 2.9851 28.1110
angles: 90.00 90.00 120.00
Space group R-3m (No. 166, hexagonal axes)
One atom of each set of equivalent atoms:
1 Al 0.0000 0.0000 0.0000 x3
2 Tc 0.0000 0.0000 0.5000 x3
3 Cl 0.0000 0.0000 0.4194 x6

Mass density: 4.5 g/cm³

*3*
Here is a relaxed structure of AlTcCl2 from Alexandria. Energies are from PBE-GGA.

abc: 3.8492 3.8492 11.1798
angles: 90.00 90.00 90.00
Space group I-4m2 (No. 119)
One atom of each set of equivalent atoms:
1 Al 0.0000 0.0000 0.0000 x2
2 Tc 0.0000 0.5000 0.2500 x2
3 Cl 0.0000 0.0000 0.5000 x2
4 Cl 0.0000 0.5000 0.7500 x2

Mass density: 3.9 g/cm³

*4*
Here is a relaxed structure of AlTcCl2 from Alexandria. Energies are from PBE-GGA.

abc: 6.6556 6.6556 6.6556
angles: 90.00 90.00 90.00
Space group F-43m (No. 216)
One atom of each set of equivalent atoms:
1 Al 0.0000 0.0000 0.0000 x4
2 Tc 0.2500 0.2500 0.2500 x4
3 Cl 0.0000 0.0000 0.5000 x4
4 Cl 0.2500 0.2500 0.7500 x4

Mass density: 4.4 g/cm³

What should be chosen as the least stable of them? Choose *4*.

*1*
Here is a relaxed structure of AlTcCl2 from Alexandria. Energies are from PBE-GGA.

abc: 5.8738 8.7721 3.1902
angles: 90.00 120.05 90.00
Space group C2/m (No. 12)
One atom of each set of equivalent atoms:
1 Al 0.0000 0.0000 0.0000 x2
2 Tc 0.0000 0.5000 0.0000 x2
3 Cl 0.2500 0.2500 0.0000 x4

Mass density: 4.6 g/cm³

*2*
Here is a relaxed structure of AlTcCl2 from Alexandria. Energies are from PBE-GGA.

abc: 3.0141 4.3277 5.4609
angles: 90.00 90.00 90.00
Space group Pmmm (No. 47)
One atom of each set of equivalent atoms:
1 Al 0.0000 0.0000 0.0000 x1
2 Tc 0.5000 0.0000 0.5000 x1
3 Cl 0.0000 0.5000 0.5000 x1
4 Cl 0.5000 0.5000 0.0000 x1

Mass density: 4.6 g/cm³

*3*
Here is a relaxed structure of AlTcCl2 from Alexandria. Energies are from PBE-GGA.

abc: 6.4527 7.7680 3.2809
angles: 90.00 90.00 90.00
Space group Cmmm (No. 65)
One atom of each set of equivalent atoms:
1 Al 0.0000 0.0000 0.0000 x2
2 Tc 0.0000 0.5000 0.0000 x2
3 Cl 0.2500 0.2500 0.5000 x4

Mass density: 4.0 g/cm³

*4*
Here is a relaxed structure of AlTcCl2 from Alexandria. Energies are from PBE-GGA.

abc: 3.2858 4.2604 4.9464
angles: 90.00 90.90 90.00
Space group P2/m (No. 10)
One atom of each set of equivalent atoms:
1 Al 0.0000 0.0000 0.0000 x1
2 Tc 0.5000 0.0000 0.5000 x1
3 Cl 0.2927 0.5000 0.2598 x2

Mass density: 4.7 g/cm³

What should be chosen as the least stable of them? Choose *3*.

*1*
Here is a relaxed structure of AlTcCl2 from Alexandria. Energies are from PBE-GGA.

abc: 3.0346 5.7137 9.4812
angles: 90.00 90.00 90.00
Space group Cmm2 (No. 35)
One atom of each set of equivalent atoms:
1 Al 0.0000 0.0000 0.0000 x2
2 Tc 0.0000 0.5000 0.7832 x2
3 Cl 0.0000 0.0000 0.5926 x2
4 Cl 0.0000 0.5000 0.1894 x2

Mass density: 4.0 g/cm³

*2*
Here is a relaxed structure of AlTcCl2 from Alexandria. Energies are from PBE-GGA.

abc: 2.9956 2.9956 8.5788
angles: 90.00 90.00 90.00
Space group P4mm (No. 99)
One atom of each set of equivalent atoms:
1 Al 0.0000 0.0000 0.0000 x1
2 Tc 0.5000 0.5000 0.8027 x1
3 Cl 0.0000 0.0000 0.6267 x1
4 Cl 0.5000 0.5000 0.1990 x1

Mass density: 4.2 g/cm³

*3*
Here is a relaxed structure of AlTcCl2 from Alexandria. Energies are from PBE-GGA.

abc: 3.0176 7.9115 9.5591
angles: 90.00 90.00 90.00
Space group Imm2 (No. 44)
One atom of each set of equivalent atoms:
1 Al 0.0000 0.0000 0.0000 x2
2 Tc 0.0000 0.5000 0.7179 x2
3 Cl 0.0000 0.0000 0.4062 x2
4 Cl 0.0000 0.5000 0.3104 x2

Mass density: 2.9 g/cm³

What should be chosen as the least stable of them? Choose *3*.